# K2Tl2InHg

A relaxed K2Tl2InHg crystal (PBE-GGA, Alexandria via LeMat-Bulk).

a = 7.175 Å, b = 16.661 Å, c = 7.204 Å
α = 90.00°, β = 90.00°, γ = 90.00°
Space group Ibam (No. 72)
Symmetry-distinct sites (fractional):
K1 0.237 0.165 0.000
Tl1 0.240 0.388 0.000
In1 0.000 0.500 0.250
Hg1 0.000 0.000 0.250

Output
total energy	-1.775	eV per atom
DFT formation energy	-113	meV/atom